Computed, not measured: crystalline TbPm2Er3Se6 at its relaxed geometry at the PBE-GGA level of DFT.

Computed properties:
SG: C2/m
Formation energy (no corrections) (meV/atom): -1758

Cell: 9.200 9.200 8.278 Å, 104.11 104.11 25.55°
Positions (direct):
Tb  0.000  0.000  0.000
Pm  0.332  0.332  0.665
Pm  0.668  0.668  0.335
Er  0.000  0.000  0.500
Er  0.331  0.331  0.167
Er  0.669  0.669  0.833
Se  0.163  0.163  0.592
Se  0.167  0.167  0.073
Se  0.496  0.496  0.252
Se  0.504  0.504  0.748
Se  0.833  0.833  0.927
Se  0.837  0.837  0.408